A relaxed structure of Ba2YTlCr2O7. Source: the Alexandria database, functional GGA+U.

Lattice parameters (Å, degrees): 3.9431 3.9431 13.2062 90.00 90.00 90.00
Closest atoms and distances in Å follow each position.
Fractional positions:
O: 0.5000 0.5000 0.2150  1 Cr 1.92
O: 0.5000 0.0000 0.6073  2 Cr 2.02
O: 0.5000 0.0000 0.3927  2 Cr 2.02
O: 0.5000 0.5000 0.7850  1 Cr 1.92
O: 0.0000 0.5000 0.3927  2 Cr 2.02
O: 0.0000 0.5000 0.6073  2 Cr 2.02
O: 0.0000 0.0000 0.0000  2 Ba 2.61, 4 Tl 2.79
Tl: 0.5000 0.5000 0.0000  6 O 2.79-2.84
Ba: 0.0000 0.0000 0.8027  5 O 2.61-2.80
Ba: 0.0000 0.0000 0.1973  5 O 2.61-2.80
Cr: 0.5000 0.5000 0.3606  5 O 1.92-2.02
Cr: 0.5000 0.5000 0.6394  5 O 1.92-2.02
Y: 0.0000 0.0000 0.5000  8 O 2.43

Space group: P4/mmm (123)
E_tot, eV/atom: -7.012
M_tot, μB per atom: 0.485